First-principles (PBE) data for a relaxed TlGa3Br crystal, as listed in Alexandria via LeMat-Bulk.

Output
ΔE_f (raw), meV/atom: 356
Energy above the most stable polymorph in this dataset, kJ per mole of atoms: 6.2

Cell: 5.5929 5.5929 5.5929 Å, 90.00 90.00 90.00°
Closest atoms and distances in Å follow each position.
Fractional positions:
Tl  0.0000  0.0000  0.0000  12 Ga 3.95
Ga  0.0000  0.5000  0.5000  2 Br 2.80
Ga  0.5000  0.0000  0.5000  2 Br 2.80
Ga  0.5000  0.5000  0.0000  2 Br 2.80
Br  0.5000  0.5000  0.5000  6 Ga 2.80